Computed, not measured: an optimized crystal structure of Mn2RhIF at the PBE with a Hubbard U level of DFT.

Lattice parameters (Å, degrees): 5.1020 5.1020 5.0016 90.00 90.00 90.00
Closest atoms and distances in Å follow each position.
Positions (direct):
1 Mn 0.0000 0.5000 0.0000  2 Rh 2.55
2 Mn 0.5000 0.0000 0.0000  2 Rh 2.55
3 Rh 0.0000 0.0000 0.0000  2 I 2.50, 4 Mn 2.55
4 I 0.0000 0.0000 0.5000  2 Rh 2.50
5 F 0.5000 0.5000 0.5000  8 Mn 3.57, 4 I 3.61

Calculated values
Final energy: -25.675 eV/cell
Space group: No. 123